MnHgAs2 | PBE-GGA | optimized geometry

Cell: 2.937 2.937 8.973 Å, 90.00 90.00 90.00°
Space group P4/mmm (No. 123)
Symmetry-distinct sites (fractional):
Mn: 0.000 0.000 0.000
Hg: 0.000 0.000 0.500
As: 0.500 0.500 0.161

The value obtained for the theoretical density is 8.7 Mg/m³. Its total energy is -4.680 eV per atom. The value obtained for the formation energy is 0.0129 eV per atom.

=====

Mn2HgAs | PBE-GGA | optimized geometry

Cell: 3.503 4.177 9.567 Å, 90.00 90.00 90.00°
Space group Imm2 (No. 44)
Symmetry-distinct sites (fractional):
Mn: 0.000 0.000 0.000
Mn: 0.000 0.500 0.243
Hg: 0.000 0.000 0.469
As: 0.000 0.500 0.711

The value obtained for the theoretical density is 9.1 Mg/m³. Its total energy is -5.558 eV per atom. The calculation puts the energy above the most stable polymorph in this dataset at 94 meV per atom. The value obtained for the formation energy is 0.2647 eV per atom.

=====

Mn2HgAs | PBE-GGA | optimized geometry

Cell: 2.9824 2.9824 27.5041 Å, 90.00 90.00 120.00°
Space group R3m (No. 160, hexagonal axes)
Symmetry-distinct sites (fractional):
Mn: 0.0000 0.0000 0.0000
Mn: 0.0000 0.0000 0.2602
Hg: 0.0000 0.0000 0.7545
As: 0.0000 0.0000 0.5288

The value obtained for the theoretical density is 9.1 Mg/m³. Its total energy is -5.518 eV per atom. The calculation puts the energy above the most stable polymorph in this dataset at 134 meV per atom. The value obtained for the formation energy is 0.3047 eV per atom.

=====

MnHgAs2 | PBE-GGA | optimized geometry

Cell: 13.593 2.871 4.401 Å, 90.00 100.91 90.00°
Space group Cm (No. 8)
Symmetry-distinct sites (fractional):
Mn: 0.000 0.000 0.000
Hg: 0.300 0.000 0.869
As: 0.150 0.500 0.286
As: 0.488 0.000 0.505

The value obtained for the theoretical density is 8.0 Mg/m³. Its total energy is -4.564 eV per atom. The value obtained for the formation energy is 0.1291 eV per atom.

=====

Number 1: M_tot 0.0 Bohr magnetons per cell. Number 2: M_tot 14.7 Bohr magnetons per cell. Number 3: M_tot 18.3 Bohr magnetons per cell. Number 4: M_tot 6.8 Bohr magnetons per cell.